The following is a GGA-PBEsol calculation of a relaxed structure of BeMo2Br, from Alexandria via LeMat-Bulk.

Output
Crystal system = orthorhombic
SG = No. 44
Distance to the lowest polymorph of the same formula = 0.4460 eV/atom
Raw total energy = -26.41 eV for the cell shown

abc: 5.081 5.081 5.081
angles: 145.20 128.66 63.52
Fractional positions:
1 Be 0.000 0.000 0.000
2 Mo 0.217 0.717 0.500
3 Mo 0.499 0.499 0.000
4 Br 0.739 0.239 0.500